# 1
DFT (PBE-GGA) results for a relaxed LaSnIr3 crystal.

Properties
Calculated volume: 319.2 Å³/cell

a = 8.1012 Å, b = 8.1012 Å, c = 5.6179 Å
α = 90.00°, β = 90.00°, γ = 120.00°
With the nearest neighbours (Å) after each atom.
Atoms (fractional coordinates):
1 La 0.3333 0.6667 0.2500  3 Ir 2.50
2 La 0.6667 0.3333 0.7500  3 Ir 2.50
3 Sn 0.0000 0.0000 0.0000  6 Ir 2.59, 2 Sn 2.81
4 Sn 0.0000 0.0000 0.5000  6 Ir 2.59, 2 Sn 2.81
5 Ir 0.1553 0.3106 0.2500  1 La 2.50, 2 Sn 2.59
6 Ir 0.1553 0.8447 0.2500  1 La 2.50, 2 Sn 2.59
7 Ir 0.3106 0.1553 0.7500  1 La 2.50, 2 Sn 2.59
8 Ir 0.6894 0.8447 0.2500  1 La 2.50, 2 Sn 2.59
9 Ir 0.8447 0.1553 0.7500  1 La 2.50, 2 Sn 2.59
10 Ir 0.8447 0.6894 0.7500  1 La 2.50, 2 Sn 2.59

# 2
DFT (PBE-GGA) results for a relaxed LaSn2Ir2 crystal.

Properties
Calculated volume: 112.3 Å³/cell

a = 6.3833 Å, b = 6.3833 Å, c = 6.3833 Å
α = 138.66°, β = 138.66°, γ = 59.89°
With the nearest neighbours (Å) after each atom.
Atoms (fractional coordinates):
1 La 0.0000 0.0000 0.0000  8 Ir 3.43, 8 Sn 3.57
2 Sn 0.2500 0.7500 0.5000  4 Ir 2.71
3 Sn 0.7500 0.2500 0.5000  4 Ir 2.71
4 Ir 0.3862 0.3862 0.0000  1 Ir 2.52, 4 Sn 2.71
5 Ir 0.6138 0.6138 0.0000  1 Ir 2.52, 4 Sn 2.71

# 3
DFT (PBE-GGA) results for a relaxed LaSnIr crystal.

Properties
Calculated volume: 209.6 Å³/cell

a = 7.5398 Å, b = 7.5398 Å, c = 4.2565 Å
α = 90.00°, β = 90.00°, γ = 120.00°
With the nearest neighbours (Å) after each atom.
Atoms (fractional coordinates):
1 La 0.0000 0.4158 0.0000  5 Ir 3.11-3.14, 6 Sn 3.32-3.46
2 La 0.4158 0.0000 0.0000  5 Ir 3.11-3.14, 6 Sn 3.32-3.46
3 La 0.5842 0.5842 0.0000  5 Ir 3.11-3.14, 6 Sn 3.32-3.46
4 Sn 0.0000 0.7532 0.5000  4 Ir 2.83-2.90
5 Sn 0.2468 0.2468 0.5000  4 Ir 2.83-2.90
6 Sn 0.7532 0.0000 0.5000  4 Ir 2.83-2.90
7 Ir 0.0000 0.0000 0.0000  6 Sn 2.83, 3 La 3.14
8 Ir 0.3333 0.6667 0.5000  3 Sn 2.90, 6 La 3.11
9 Ir 0.6667 0.3333 0.5000  3 Sn 2.90, 6 La 3.11

# 4
DFT (PBE-GGA) results for a relaxed La2SnIr2 crystal.

Properties
Calculated volume: 239.4 Å³/cell

a = 5.9005 Å, b = 5.9005 Å, c = 8.2889 Å
α = 102.14°, β = 102.14°, γ = 58.74°
With the nearest neighbours (Å) after each atom.
Atoms (fractional coordinates):
1 La 0.0139 0.6937 0.8523  6 Ir 3.02-3.28
2 La 0.3063 0.9861 0.6477  6 Ir 3.02-3.28
3 La 0.6937 0.0139 0.3523  6 Ir 3.02-3.28
4 La 0.9861 0.3063 0.1477  6 Ir 3.02-3.28
5 Sn 0.3455 0.6545 0.2500  4 Ir 2.76-2.83
6 Sn 0.6545 0.3455 0.7500  4 Ir 2.76-2.83
7 Ir 0.2237 0.4959 0.5042  1 Ir 2.60, 2 Sn 2.76-2.83
8 Ir 0.4959 0.2237 0.0042  1 Ir 2.60, 2 Sn 2.76-2.83
9 Ir 0.5041 0.7763 0.9958  1 Ir 2.60, 2 Sn 2.76-2.83
10 Ir 0.7763 0.5041 0.4958  1 Ir 2.60, 2 Sn 2.76-2.83

no.,calculated total energy (eV for the cell shown)
1,-58.186
2,-33.416
3,-60.807
4,-71.151